# 1
Density functional theory data (GGA-PBE) for a relaxed structure of PmEuIr.

a b c (Å): 6.9712 6.9712 6.9712
angles (deg): 90.00 90.00 90.00
Last column: nearest neighbours and their distance in Å.
Space group F-43m (No. 216)
Unique sites:
Pm  0.0000  0.0000  0.0000 [4 per cell]  4 Ir 3.02
Eu  0.0000  0.0000  0.5000 [4 per cell]  4 Ir 3.02
Ir  0.2500  0.2500  0.2500 [4 per cell]  4 Pm 3.02, 4 Eu 3.02

## Properties
Formation enthalpy at 0 K = -468 meV per atom
VASP energy = -8.430 eV per atom
Distance to the lowest polymorph of the same formula = 0 meV/atom



# 2
Density functional theory data (GGA-PBE) for a relaxed structure of GeAsAu.

a b c (Å): 3.7835 3.7835 8.3119
angles (deg): 90.00 90.00 90.00
Last column: nearest neighbours and their distance in Å.
Space group I4mm (No. 107)
Unique sites:
Ge  0.0000  0.0000  0.0000 [2 per cell]  1 Au 2.71, 5 As 2.92-2.95
As  0.0000  0.0000  0.6489 [2 per cell]  1 Au 2.69, 5 Ge 2.92-2.95
Au  0.0000  0.0000  0.3255 [2 per cell]  1 As 2.69, 1 Ge 2.71

## Properties
Formation enthalpy at 0 K = 266 meV per atom
VASP energy = -3.915 eV per atom
Distance to the lowest polymorph of the same formula = 347 meV/atom



# 3
Density functional theory data (GGA-PBE) for a relaxed structure of CrRh2Au.

a b c (Å): 3.8819 3.8819 7.8994
angles (deg): 90.00 90.00 90.00
Last column: nearest neighbours and their distance in Å.
Space group I-4m2 (No. 119)
Unique sites:
Cr  0.0000  0.0000  0.0000 [2 per cell]  8 Rh 2.74-2.77, 4 Au 2.77
Rh  0.0000  0.0000  0.5000 [2 per cell]  4 Cr 2.74, 4 Rh 2.77, 4 Au 2.77
Rh  0.0000  0.5000  0.7500 [2 per cell]  4 Au 2.74, 4 Cr 2.77, 4 Rh 2.77
Au  0.0000  0.5000  0.2500 [2 per cell]  8 Rh 2.74-2.77, 4 Cr 2.77

## Properties
Formation enthalpy at 0 K = 77 meV per atom
VASP energy = -6.824 eV per atom



# 4
Density functional theory data (GGA-PBE) for a relaxed structure of Sn4HgAu2.

a b c (Å): 10.6284 14.7544 8.8219
angles (deg): 90.00 90.00 90.00
Last column: nearest neighbours and their distance in Å.
Space group Fdd2 (No. 43)
Unique sites:
Sn  0.0259  0.1165  0.0000 [16 per cell]  4 Au 2.91-3.03, 1 Hg 3.17
Sn  0.1136  0.4343  0.8296 [16 per cell]  3 Au 2.87-2.88, 1 Sn 3.10, 1 Hg 3.19
Hg  0.0000  0.0000  0.6714 [8 per cell]  8 Sn 3.17-3.39, 2 Au 3.23
Au  0.0320  0.2279  0.2888 [16 per cell]  7 Sn 2.87-3.03

## Properties
Formation enthalpy at 0 K = -85 meV per atom
VASP energy = -3.352 eV per atom



# 5
Density functional theory data (GGA-PBE) for a relaxed structure of Nd2FeAgC.

a b c (Å): 5.2574 5.2574 3.6975
angles (deg): 90.00 90.00 90.00
Last column: nearest neighbours and their distance in Å.
Space group P4/mmm (No. 123)
Unique sites:
Nd  0.0000  0.5000  0.0000 [2 per cell]  2 C 2.63
Fe  0.0000  0.0000  0.5000 [1 per cell]  2 C 1.85
Ag  0.5000  0.5000  0.5000 [1 per cell]  8 Nd 3.21
C  0.0000  0.0000  0.0000 [1 per cell]  2 Fe 1.85

## Properties
Formation enthalpy at 0 K = -187 meV per atom
VASP energy = -6.201 eV per atom



# 6
Density functional theory data (GGA-PBE) for a relaxed structure of LaMnCd.

a b c (Å): 7.2099 7.2099 7.2099
angles (deg): 90.00 90.00 90.00
Last column: nearest neighbours and their distance in Å.
Space group F-43m (No. 216)
Unique sites:
La  0.0000  0.0000  0.0000 [4 per cell]  4 Mn 3.12, 4 Cd 3.12
Mn  0.2500  0.2500  0.2500 [4 per cell]  4 La 3.12
Cd  0.2500  0.2500  0.7500 [4 per cell]  4 La 3.12

## Properties
Formation enthalpy at 0 K = 673 meV per atom
VASP energy = -4.331 eV per atom



# 7
Density functional theory data (GGA-PBE) for a relaxed structure of La2ScCl.

a b c (Å): 8.7497 8.7497 6.5519
angles (deg): 90.00 90.00 90.00
Last column: nearest neighbours and their distance in Å.
Space group I-42d (No. 122)
Unique sites:
La  0.1866  0.2500  0.1250 [8 per cell]  2 Cl 2.85
Sc  0.0000  0.0000  0.5000 [4 per cell]  2 Cl 3.28, 4 La 3.60
Cl  0.0000  0.0000  0.0000 [4 per cell]  4 La 2.85

## Properties
ΔE_f (raw) = -0.348 eV/atom
VASP energy = -4.856 eV per atom
Distance to the lowest polymorph of the same formula = 283 meV/atom



# 8
Density functional theory data (GGA-PBE) for a relaxed structure of CsAcSF2.

a b c (Å): 4.9740 4.9740 5.8497
angles (deg): 90.00 90.00 90.00
Last column: nearest neighbours and their distance in Å.
Space group P4mm (No. 99)
Unique sites:
Cs  0.0000  0.0000  0.0000 [1 per cell]  4 S 3.52, 8 F 3.81-3.86
Ac  0.5000  0.5000  0.4961 [1 per cell]  4 F 2.49
S  0.5000  0.5000  0.9957 [1 per cell]  2 Ac 2.92-2.93
F  0.0000  0.5000  0.4944 [2 per cell]  2 Ac 2.49

## Properties
ΔE_f (raw) = -2.917 eV/atom
VASP energy = -5.484 eV per atom



Q: Which value of VASP energy does entry 4 give?
A: -3.352 eV per atom